# 1
Ac2As4Pt3Au GGA-PBE relaxed; formation enthalpy at 0 K = -8.761 eV/f.u.; space group = No. 115; crystal system = tetragonal
1.0
4.629 0.000 0.000
0.000 4.629 0.000
0.000 0.000 10.000
Ac As Pt Au
2 4 3 1
Cartesian
0.000 2.314 2.491
2.314 0.000 7.509
0.000 0.000 0.000
0.000 2.314 6.338
2.314 0.000 3.662
2.314 2.314 0.000
0.000 2.314 8.876
2.314 0.000 1.123
2.314 2.314 5.000
0.000 0.000 5.000

# 2
CaTa2CdFe GGA-PBE relaxed; formation enthalpy at 0 K = 3.053 eV/f.u.; space group = No. 123; crystal system = tetragonal
1.0
4.615 0.000 0.000
0.000 4.615 0.000
0.000 0.000 5.133
Ca Ta Cd Fe
1 2 1 1
Cartesian
0.000 0.000 0.000
0.000 2.308 2.567
2.308 0.000 2.567
2.308 2.308 0.000
2.308 2.308 2.567

# 3
Ho3TeRh GGA-PBE relaxed; energy above the lowest structure with this stoichiometry = 0.0 meV/atom; space group = No. 62; crystal system = orthorhombic; ΔE_f (raw) = -4.53 eV/f.u.
1.0
7.587 0.000 0.000
0.000 4.230 0.000
0.000 0.000 16.555
Ho Te Rh
12 4 4
Cartesian
0.113 1.058 1.526
1.053 3.173 7.411
1.351 1.058 11.689
2.442 3.173 3.412
2.740 1.058 15.688
3.680 3.173 9.804
3.906 1.058 6.751
4.847 3.173 0.867
5.145 1.058 13.143
6.235 3.173 4.866
6.533 1.058 9.144
7.473 3.173 15.029
0.927 1.058 4.965
2.867 3.173 13.243
4.720 1.058 3.312
6.660 3.173 11.590
1.809 3.173 0.702
1.984 1.058 8.979
5.602 3.173 7.576
5.778 1.058 15.853

# 4
Mn2CrRu GGA-PBE relaxed; formation enthalpy at 0 K = 0.734 eV/f.u.; space group = No. 160; crystal system = trigonal
1.0
1.288 0.744 8.341
-1.288 0.744 8.341
0.000 -1.487 8.341
Mn Cr Ru
2 1 1
Cartesian
0.000 0.000 0.000
0.000 0.000 6.427
0.000 0.000 18.761
0.000 0.000 12.547

# 5
La2Ni12P3Pd GGA-PBE relaxed; formation enthalpy at 0 K = -1.255 eV/f.u.; space group = No. 166; crystal system = trigonal
1.0
4.129 2.384 4.539
-4.129 2.384 4.539
0.000 -4.768 4.539
La Ni P Pd
2 12 3 1
Cartesian
0.000 0.000 1.662
0.000 0.000 11.956
-2.129 -1.229 6.648
0.000 -2.008 4.421
-1.739 1.004 4.421
0.000 -2.458 6.970
-2.129 1.229 6.970
-1.739 -1.004 9.197
1.739 1.004 4.421
2.129 -1.229 6.648
0.000 2.458 6.648
1.739 -1.004 9.197
0.000 2.008 9.197
2.129 1.229 6.970
-2.065 -1.192 4.539
-2.065 1.192 9.079
0.000 2.384 4.539
0.000 0.000 6.809

# 6
GaCu3Au4 GGA-PBE relaxed; formation enthalpy at 0 K = -0.183 eV/f.u.; energy above the lowest structure with this stoichiometry = 58.8 meV/atom; space group = No. 65; crystal system = orthorhombic
1.0
2.072 -11.144 0.000
2.072 11.144 0.000
0.000 0.000 2.856
Ga Cu Au
1 3 4
Cartesian
0.000 0.000 0.000
2.072 4.886 0.000
2.072 0.000 1.428
2.072 -4.886 0.000
2.072 7.282 1.428
2.072 2.225 0.000
2.072 -2.225 0.000
2.072 -7.282 1.428

# 7
TcPb3W GGA-PBE relaxed; formation enthalpy at 0 K = 7.487 eV/f.u.; energy above the lowest structure with this stoichiometry = 6.8 meV/atom; space group = No. 221; crystal system = cubic
1.0
5.290 0.000 0.000
0.000 5.290 0.000
0.000 0.000 5.290
Tc Pb W
1 3 1
Cartesian
0.000 0.000 0.000
0.000 0.000 2.645
0.000 2.645 0.000
2.645 0.000 0.000
2.645 2.645 2.645

# 8
Hf3NbZn2 GGA-PBE relaxed; formation enthalpy at 0 K = -0.763 eV/f.u.; energy above the lowest structure with this stoichiometry = 0.0 meV/atom; space group = No. 123; crystal system = tetragonal
1.0
3.368 0.000 0.000
0.000 3.368 0.000
0.000 0.000 9.990
Hf Nb Zn
3 1 2
Cartesian
0.000 0.000 0.000
0.000 0.000 3.297
0.000 0.000 6.694
1.684 1.684 4.995
1.684 1.684 1.638
1.684 1.684 8.352

# 9
LiHo2As GGA-PBE relaxed; formation enthalpy at 0 K = -1.623 eV/f.u.; energy above the lowest structure with this stoichiometry = 156.6 meV/atom; space group = No. 166; crystal system = trigonal
1.0
1.902 1.098 10.017
-1.902 1.098 10.017
0.000 -2.196 10.017
Li Ho As
1 2 1
Cartesian
0.000 0.000 0.000
0.000 0.000 3.297
0.000 0.000 26.753
0.000 0.000 15.025

# 10
Ca3Si2GePt9 GGA-PBE relaxed; space group = No. 164; crystal system = trigonal; ΔE_f (raw) = -9.45 eV/f.u.
1.0
6.449 0.000 0.000
-3.224 5.585 0.000
0.000 0.000 8.563
Ca Si Ge Pt
3 2 1 9
Cartesian
0.000 0.000 0.000
0.000 3.723 5.912
3.224 1.862 2.650
0.000 3.723 1.567
3.224 1.862 6.995
0.000 0.000 4.281
-1.612 2.792 0.000
0.000 1.594 2.362
-1.844 4.788 2.362
1.381 0.797 6.201
3.224 0.000 0.000
1.612 2.792 0.000
1.844 4.788 2.362
5.068 0.797 6.201
3.224 3.991 6.201

# 11
RhPb3 GGA-PBE relaxed; formation enthalpy at 0 K = 1.325 eV/f.u.; space group = No. 221; crystal system = cubic
1.0
5.346 0.000 0.000
0.000 5.346 0.000
0.000 0.000 5.346
Rh Pb
1 3
Cartesian
0.000 0.000 0.000
0.000 0.000 2.673
0.000 2.673 0.000
2.673 0.000 0.000

# 12
Cu2ReAs GGA-PBE relaxed; formation enthalpy at 0 K = 1.440 eV/f.u.; space group = No. 166; crystal system = trigonal
1.0
1.406 0.812 8.383
-1.406 0.812 8.383
0.000 -1.624 8.383
Cu Re As
2 1 1
Cartesian
0.000 0.000 6.269
0.000 0.000 18.879
0.000 0.000 0.000
0.000 0.000 12.574

Ordered theoretical density results: 11.9; 8.7; 9.1; 9.1; 7.3; 13.2; 10.1; 11.1; 5.4; 10.8; 7.9; 11.2; unit Mg/m³.